# 1
meta-GGA SCAN CuSe2Br, PBEsol geometry; total magnetization = 0.00 μB/cell; offset from the most stable computed form = 0.7166 eV per atom; formation energy without anion corrections = 486 meV/atom; VASP energy = -18.218 eV/atom
1.0
3.053 0.000 0.000
0.000 3.053 0.000
0.000 0.000 8.456
Cu Se Br
1 2 1
direct
0.000 0.000 0.000
0.000 0.000 0.428
0.500 0.500 0.180
0.500 0.500 0.794

---

# 2
meta-GGA SCAN CuSe2Br, PBEsol geometry; total magnetization = 0.00 μB/cell; offset from the most stable computed form = 1.0649 eV per atom; formation energy without anion corrections = 834 meV/atom; VASP energy = -17.870 eV/atom
1.0
0.000 3.334 3.334
3.334 0.000 3.334
3.334 3.334 0.000
Cu Se Br
1 2 1
direct
0.000 0.000 0.000
0.250 0.250 0.250
0.750 0.750 0.750
0.500 0.500 0.500

---

Look up the offset from the most stable computed form of the second one. 1.0649 eV per atom

---

Repeat the second record exactly.
meta-GGA SCAN CuSe2Br, PBEsol geometry; total magnetization = 0.00 μB/cell; offset from the most stable computed form = 1.0649 eV per atom; formation energy without anion corrections = 834 meV/atom; VASP energy = -17.870 eV/atom
1.0
0.000 3.334 3.334
3.334 0.000 3.334
3.334 3.334 0.000
Cu Se Br
1 2 1
direct
0.000 0.000 0.000
0.250 0.250 0.250
0.750 0.750 0.750
0.500 0.500 0.500

---

The highest formation energy without anion corrections belongs to which entry? number 2